# 1
First-principles (PBE) data for crystalline LaTm4Zn at its relaxed geometry, as listed in the Alexandria database.

```
LaTm4Zn
1.0
3.546 0.000 0.000
0.000 3.546 0.000
0.000 0.000 13.638
La Tm Zn
1 4 1
Direct
0.000 0.000 0.000 La
0.000 0.000 0.373 Tm
0.000 0.000 0.627 Tm
0.500 0.500 0.190 Tm
0.500 0.500 0.810 Tm
0.500 0.500 0.500 Zn
```

Computed properties:
Energy: -4.10 eV/atom
DFT formation energy: -0.087 eV/atom

# 2
First-principles (PBE) data for crystalline CoRe2Ni at its relaxed geometry, as listed in the Alexandria database.

```
CoRe2Ni
1.0
3.140 0.000 0.000
0.000 3.140 0.000
0.000 0.000 5.258
Co Re Ni
1 2 1
Direct
0.000 0.000 0.000 Co
0.500 0.500 0.245 Re
0.500 0.500 0.755 Re
0.000 0.000 0.500 Ni
```

Computed properties:
Energy: -9.20 eV/atom
DFT formation energy: 0.249 eV/atom
Polymorph energy (0 for the lowest one): 295 meV per atom

# 3
First-principles (PBE) data for crystalline Ta2AlPb at its relaxed geometry, as listed in the Alexandria database.

```
Ta2AlPb
1.0
2.947 0.000 0.000
0.000 2.947 0.000
0.000 0.000 9.673
Ta Al Pb
2 1 1
Direct
0.000 0.000 0.000 Ta
0.500 0.500 0.232 Ta
0.000 0.000 0.429 Al
0.500 0.500 0.742 Pb
```

Computed properties:
Energy: -7.47 eV/atom
DFT formation energy: 0.315 eV/atom

# 4
First-principles (PBE) data for crystalline Zn2TcWBr at its relaxed geometry, as listed in the Alexandria database.

```
Zn2TcWBr
1.0
4.731 0.000 0.000
0.000 4.731 0.000
0.000 0.000 4.606
Zn Tc W Br
2 1 1 1
Direct
0.000 0.500 0.000 Zn
0.500 0.000 0.000 Zn
0.000 0.000 0.500 Tc
0.500 0.500 0.500 W
0.500 0.500 0.000 Br
```

Computed properties:
Energy: -3.50 eV/atom
Raw formation energy: 2.010 eV/atom

# 5
First-principles (PBE) data for crystalline BaMnRe2 at its relaxed geometry, as listed in the Alexandria database.

```
BaMnRe2
1.0
-1.932 1.932 5.336
1.932 -1.932 5.336
1.932 1.932 -5.336
Ba Mn Re
1 1 2
Direct
0.000 0.000 0.000 Ba
0.500 0.500 0.000 Mn
0.250 0.750 0.500 Re
0.750 0.250 0.500 Re
```

Computed properties:
Energy: -7.43 eV/atom
DFT formation energy: 1.564 eV/atom
Polymorph energy (0 for the lowest one): 1031 meV per atom

# 6
First-principles (PBE) data for crystalline KHfTlSi2 at its relaxed geometry, as listed in the Alexandria database.

```
KHfTlSi2
1.0
5.351 0.000 0.000
0.000 5.351 0.000
0.000 0.000 5.138
K Hf Tl Si
1 1 1 2
Direct
0.000 0.000 0.000 K
0.000 0.000 0.500 Hf
0.500 0.500 0.500 Tl
0.000 0.500 0.000 Si
0.500 0.000 0.000 Si
```

Computed properties:
Energy: -2.83 eV/atom
Raw formation energy: 2.024 eV/atom

# 7
First-principles (PBE) data for crystalline LiLaWCl2 at its relaxed geometry, as listed in the Alexandria database.

```
LiLaWCl2
1.0
5.368 0.000 0.000
0.000 5.368 0.000
0.000 0.000 7.103
Li La W Cl
1 1 1 2
Direct
0.000 0.000 0.000 Li
0.000 0.000 0.500 La
0.500 0.500 0.000 W
0.000 0.500 0.500 Cl
0.500 0.000 0.500 Cl
```

Computed properties:
Energy: -4.23 eV/atom
Raw formation energy: 0.465 eV/atom

Which volume belongs to each record? In order, 28.6, 13.0, 21.0, 20.6, 19.9, 29.4, 40.9 Å³ per atom.